Model A:
A relaxed structure of RbMnBi3, computed with PBE.

Unit cell a=5.366 b=5.366 c=5.366 alpha=90.00 beta=90.00 gamma=90.00
Fractional coordinates of all 5 atoms:
Rb: 0.000 0.000 0.000
Mn: 0.500 0.500 0.500
Bi: 0.000 0.500 0.500
Bi: 0.500 0.000 0.500
Bi: 0.500 0.500 0.000

Computed properties:
- magnetization (μB per formula unit) = 0.00
- calculated density (g/cm3) = 8.25

---

Model B:
A relaxed structure of RbMnBi3, computed with PBE.

Unit cell a=6.095 b=6.095 c=6.095 alpha=90.00 beta=90.00 gamma=90.00
Fractional coordinates of all 5 atoms:
Rb: 0.000 0.000 0.000
Mn: 0.500 0.500 0.500
Bi: 0.000 0.000 0.500
Bi: 0.000 0.500 0.000
Bi: 0.500 0.000 0.000

Computed properties:
- magnetization (μB per formula unit) = 4.96
- calculated density (g/cm3) = 5.63

---

Most stable: model A (next structure +1251 meV per atom)

---

Model A:
A relaxed structure of RbMn3Bi, computed with PBE.

Unit cell a=5.144 b=5.144 c=5.144 alpha=90.00 beta=90.00 gamma=90.00
Fractional coordinates of all 5 atoms:
Rb: 0.000 0.000 0.000
Mn: 0.000 0.000 0.500
Mn: 0.000 0.500 0.000
Mn: 0.500 0.000 0.000
Bi: 0.500 0.500 0.500

Computed properties:
- magnetization (μB per formula unit) = 12.32
- calculated density (g/cm3) = 5.60

---

Model B:
A relaxed structure of RbMn3Bi, computed with PBE.

Unit cell a=5.483 b=5.483 c=5.483 alpha=90.00 beta=90.00 gamma=90.00
Fractional coordinates of all 5 atoms:
Rb: 0.000 0.000 0.000
Mn: 0.000 0.500 0.500
Mn: 0.500 0.000 0.500
Mn: 0.500 0.500 0.000
Bi: 0.500 0.500 0.500

Computed properties:
- magnetization (μB per formula unit) = 11.95
- calculated density (g/cm3) = 4.63

---

Most stable: model B (next structure +950 meV per atom)